Record 1
Here is a relaxed Ba3AgI crystal from the Alexandria database. Energies are from PBE-GGA.

Geometry as CIF:
```
data_Ba3AgI
_symmetry_space_group_name_H-M 'P m m n'
_symmetry_Int_Tables_number 59
_cell_length_a 4.734
_cell_length_b 8.823
_cell_length_c 11.458
_cell_angle_alpha 90.00
_cell_angle_beta 90.00
_cell_angle_gamma 90.00
loop_
_symmetry_equiv_pos_as_xyz
'x,y,z'
'-x,-y,-z'
'-x+1/2,-y+1/2,z'
'x+1/2,y+1/2,-z'
'x+1/2,-y,-z'
'-x+1/2,y,z'
'-x,y+1/2,-z'
'x,-y+1/2,z'
loop_
_atom_site_label
_atom_site_fract_x
_atom_site_fract_y
_atom_site_fract_z
Ba1 0.250 0.007 0.157
Ba2 0.250 0.250 0.578
Ag1 0.250 0.250 0.906
I1 0.250 0.750 0.668
```

Properties
E above lowest polymorph = 0.0 kJ/mol of formula units
crystal system = orthorhombic
DOS(E_F) = 9.7 states/eV per cell
formation energy without anion corrections = -0.561 eV/atom
total magnetization = 0.1 μB/cell
volume = 47.855 Å³ per atom

Record 2
Here is a relaxed BaAg2I4 crystal from the Alexandria database. Energies are from PBE-GGA.

Geometry as CIF:
```
data_BaAg2I4
_symmetry_space_group_name_H-M 'P -4 2 m'
_symmetry_Int_Tables_number 111
_symmetry_space_group_name_Hall 'P -4 2'
_cell_length_a 6.700
_cell_length_b 6.700
_cell_length_c 7.507
_cell_angle_alpha 90.00
_cell_angle_beta 90.00
_cell_angle_gamma 90.00
loop_
_atom_site_label
_atom_site_fract_x
_atom_site_fract_y
_atom_site_fract_z
Ba1 0.000 0.000 0.000
Ag1 0.000 0.500 0.500
I1 0.273 0.273 0.283
```

Properties
E above lowest polymorph = 1.5 kJ/mol of formula units
crystal system = tetragonal
DOS(E_F) = 0.0 states/eV per cell
formation energy without anion corrections = -0.823 eV/atom
total magnetization = 0.0 μB/cell
volume = 48.138 Å³ per atom

Record 3
Here is a relaxed BaAgI3 crystal from the Alexandria database. Energies are from PBE-GGA.

Geometry as CIF:
```
data_BaAgI3
_symmetry_space_group_name_H-M 'P m -3 m'
_symmetry_Int_Tables_number 221
_symmetry_space_group_name_Hall '-P 4 2 3'
_cell_length_a 5.858
_cell_length_b 5.858
_cell_length_c 5.858
_cell_angle_alpha 90.00
_cell_angle_beta 90.00
_cell_angle_gamma 90.00
loop_
_atom_site_label
_atom_site_fract_x
_atom_site_fract_y
_atom_site_fract_z
Ba1 0.000 0.000 0.000
Ag1 0.500 0.500 0.500
I1 0.000 0.500 0.500
```

Properties
E above lowest polymorph = 95.7 kJ/mol of formula units
crystal system = cubic
DOS(E_F) = 0.0 states/eV per cell
formation energy without anion corrections = -0.945 eV/atom
total magnetization = 0.0 μB/cell
volume = 40.202 Å³ per atom

Record 4
Here is a relaxed Ba2AgI6 crystal from the Alexandria database. Energies are from PBE-GGA.

Geometry as CIF:
```
data_Ba2AgI6
_symmetry_space_group_name_H-M 'P 1 21/c 1'
_symmetry_Int_Tables_number 14
_symmetry_space_group_name_Hall '-P 2ybc'
_cell_length_a 7.588
_cell_length_b 9.297
_cell_length_c 13.171
_cell_angle_alpha 90.00
_cell_angle_beta 124.65
_cell_angle_gamma 90.00
loop_
_atom_site_label
_atom_site_fract_x
_atom_site_fract_y
_atom_site_fract_z
Ba1 0.209 0.123 0.258
Ag1 0.500 0.000 0.000
I1 0.126 0.157 0.949
I2 0.273 0.671 0.948
I3 0.354 0.014 0.749
```

Properties
crystal system = monoclinic
DOS(E_F) = 12.3 states/eV per cell
formation energy without anion corrections = -1.205 eV/atom
total magnetization = 0.0 μB/cell
volume = 42.464 Å³ per atom

Record 5
Here is a relaxed BaAg2I crystal from the Alexandria database. Energies are from PBE-GGA.

Geometry as CIF:
```
data_BaAg2I
_symmetry_space_group_name_H-M 'F m -3 m'
_symmetry_Int_Tables_number 225
_symmetry_space_group_name_Hall '-F 4 2 3'
_cell_length_a 7.954
_cell_length_b 7.954
_cell_length_c 7.954
_cell_angle_alpha 90.00
_cell_angle_beta 90.00
_cell_angle_gamma 90.00
loop_
_atom_site_label
_atom_site_fract_x
_atom_site_fract_y
_atom_site_fract_z
Ba1 0.000 0.000 0.000
Ag1 0.250 0.250 0.250
I1 0.000 0.000 0.500
```

Properties
E above lowest polymorph = 29.7 kJ/mol of formula units
crystal system = cubic
DOS(E_F) = 11.3 states/eV per cell
formation energy without anion corrections = -0.154 eV/atom
total magnetization = 0.0 μB/cell
volume = 31.455 Å³ per atom

Record 6
Here is a relaxed BaAg2I4 crystal from the Alexandria database. Energies are from PBE-GGA.

Geometry as CIF:
```
data_BaAg2I4
_symmetry_space_group_name_H-M 'F d d 2'
_symmetry_Int_Tables_number 43
_symmetry_space_group_name_Hall 'F 2 -2d'
_cell_length_a 13.906
_cell_length_b 16.701
_cell_length_c 10.039
_cell_angle_alpha 90.00
_cell_angle_beta 90.00
_cell_angle_gamma 90.00
loop_
_atom_site_label
_atom_site_fract_x
_atom_site_fract_y
_atom_site_fract_z
Ba1 0.000 0.000 0.000
Ag1 0.125 0.125 0.625
I1 0.067 0.108 0.311
I2 0.067 0.392 0.189
```

Properties
E above lowest polymorph = 0.0 kJ/mol of formula units
crystal system = orthorhombic
DOS(E_F) = 0.0 states/eV per cell
formation energy without anion corrections = -0.825 eV/atom
total magnetization = 0.0 μB/cell
volume = 41.633 Å³ per atom

Record 7
Here is a relaxed BaAgI4 crystal from the Alexandria database. Energies are from PBE-GGA.

Geometry as CIF:
```
data_BaAgI4
_symmetry_space_group_name_H-M 'P 1 21/m 1'
_symmetry_Int_Tables_number 11
_symmetry_space_group_name_Hall '-P 2yb'
_cell_length_a 6.854
_cell_length_b 11.206
_cell_length_c 8.405
_cell_angle_alpha 90.00
_cell_angle_beta 108.33
_cell_angle_gamma 90.00
loop_
_atom_site_label
_atom_site_fract_x
_atom_site_fract_y
_atom_site_fract_z
Ba1 0.118 0.250 0.175
Ag1 0.334 0.750 0.413
I1 0.177 0.571 0.163
I2 0.262 0.250 0.605
I3 0.356 0.750 0.748
```

Properties
crystal system = monoclinic
DOS(E_F) = 10.8 states/eV per cell
formation energy without anion corrections = -0.854 eV/atom
total magnetization = 0.0 μB/cell
volume = 51.066 Å³ per atom

Record 8
Here is a relaxed BaIn2AgI5 crystal from the Alexandria database. Energies are from PBE-GGA.

Geometry as CIF:
```
data_BaIn2AgI5
_symmetry_space_group_name_H-M 'C m c 21'
_symmetry_Int_Tables_number 36
_symmetry_space_group_name_Hall 'C 2c -2'
_cell_length_a 4.868
_cell_length_b 21.066
_cell_length_c 15.082
_cell_angle_alpha 90.00
_cell_angle_beta 90.00
_cell_angle_gamma 90.00
loop_
_atom_site_label
_atom_site_fract_x
_atom_site_fract_y
_atom_site_fract_z
Ba1 0.000 0.195 0.000
In1 0.000 0.095 0.635
In2 0.000 0.112 0.309
Ag1 0.000 0.441 0.385
I1 0.000 0.029 0.980
I2 0.000 0.296 0.659
I3 0.000 0.309 0.338
I4 0.000 0.359 0.978
I5 0.000 0.492 0.721
```

Properties
crystal system = orthorhombic
DOS(E_F) = 0.0 states/eV per cell
formation energy without anion corrections = -0.833 eV/atom
total magnetization = 0.0 μB/cell
volume = 42.959 Å³ per atom

Record 9
Here is a relaxed BaInAgI4 crystal from the Alexandria database. Energies are from PBE-GGA.

Geometry as CIF:
```
data_BaInAgI4
_symmetry_space_group_name_H-M 'P 1 21/m 1'
_symmetry_Int_Tables_number 11
_symmetry_space_group_name_Hall '-P 2yb'
_cell_length_a 7.915
_cell_length_b 8.351
_cell_length_c 9.539
_cell_angle_alpha 90.00
_cell_angle_beta 107.40
_cell_angle_gamma 90.00
loop_
_atom_site_label
_atom_site_fract_x
_atom_site_fract_y
_atom_site_fract_z
Ba1 0.226 0.250 0.058
In1 0.235 0.250 0.552
Ag1 0.242 0.750 0.811
I1 0.010 0.508 0.244
I2 0.444 0.750 0.612
I3 0.445 0.750 0.113
```

Properties
crystal system = monoclinic
DOS(E_F) = 0.0 states/eV per cell
formation energy without anion corrections = -0.942 eV/atom
total magnetization = 0.0 μB/cell
volume = 42.979 Å³ per atom

Record 10
Here is a relaxed K2BaAgI5 crystal from the Alexandria database. Energies are from PBE-GGA.

Geometry as CIF:
```
data_K2BaAgI5
_symmetry_space_group_name_H-M 'C m c 21'
_symmetry_Int_Tables_number 36
_symmetry_space_group_name_Hall 'C 2c -2'
_cell_length_a 4.905
_cell_length_b 21.450
_cell_length_c 15.248
_cell_angle_alpha 90.00
_cell_angle_beta 90.00
_cell_angle_gamma 90.00
loop_
_atom_site_label
_atom_site_fract_x
_atom_site_fract_y
_atom_site_fract_z
K1 0.000 0.108 0.000
K2 0.000 0.109 0.664
Ba1 0.000 0.194 0.348
Ag1 0.000 0.444 0.739
I1 0.000 0.032 0.333
I2 0.000 0.297 0.006
I3 0.000 0.311 0.686
I4 0.000 0.354 0.332
I5 0.000 0.496 0.074
```

Properties
crystal system = orthorhombic
DOS(E_F) = 0.0 states/eV per cell
formation energy without anion corrections = -1.297 eV/atom
total magnetization = 0.0 μB/cell
volume = 44.563 Å³ per atom

Q: volume of number 10 (K2BaAgI5)?
A: 44.563 Å³ per atom